VASP calculation (PBE) on a geometry-optimized Tb2BiBr structure.

Output
D(E_F) ... 6.7 states/eV per cell
E_tot ... -4.1903 eV/atom
Total magnetic moment ... 0.0 Bohr magnetons per cell
Formation energy without anion corrections ... -1.95 eV/f.u.

a = 3.5886 Å, b = 3.5886 Å, c = 32.7267 Å
α = 90.00°, β = 90.00°, γ = 120.00°
Last column: nearest neighbours and their distance in Å.
Element x y z (fractional)
Tb  0.0000  0.0000  0.0949  1 Bi 3.11, 3 Br 3.13
Tb  0.0000  0.0000  0.9051  1 Bi 3.11, 3 Br 3.13
Tb  0.3333  0.6667  0.5717  1 Bi 3.11, 3 Br 3.13
Tb  0.3333  0.6667  0.7616  1 Bi 3.11, 3 Br 3.13
Tb  0.6667  0.3333  0.2384  1 Bi 3.11, 3 Br 3.13
Tb  0.6667  0.3333  0.4283  1 Bi 3.11, 3 Br 3.13
Bi  0.0000  0.0000  0.0000  2 Tb 3.11
Bi  0.3333  0.6667  0.6667  2 Tb 3.11
Bi  0.6667  0.3333  0.3333  2 Tb 3.11
Br  0.0000  0.0000  0.5000  6 Tb 3.13
Br  0.3333  0.6667  0.1667  6 Tb 3.13
Br  0.6667  0.3333  0.8333  6 Tb 3.13